DFT (PBE-GGA) results for Rb2PmMg3F12 after structural relaxation.

Geometry as POSCAR:
```
Rb2PmMg3F12
1.0
-0.3814 -5.7217 -4.2638
-3.3238 -5.7242 2.6924
-6.4383 -1.4804 -2.7239
Rb Pm Mg F
2 1 3 12
Direct
0.6082 0.6082 0.6082
0.3918 0.3918 0.3918
0.0000 0.0000 0.0000
0.5000 0.0000 0.0000
0.0000 0.5000 0.0000
0.0000 0.0000 0.5000
0.2751 0.2751 0.9032
0.8790 0.8790 0.3855
0.3855 0.8790 0.8790
0.9032 0.2751 0.2751
0.8790 0.3855 0.8790
0.2751 0.9032 0.2751
0.7249 0.7249 0.0968
0.1210 0.1210 0.6145
0.6145 0.1210 0.1210
0.0968 0.7249 0.7249
0.1210 0.6145 0.1210
0.7249 0.0968 0.7249
```

Summary:
Its space-group type is R-3m, No. 166. As for the uncorrected formation energy: -3.2676 eV per atom. For the calculated total energy, the calculation gives -92.743 eV per formula unit. Its volume is 280 Å³/f.u. For the total moment, the calculation gives 1.23 μB/f.u.